Density functional theory data (GGA-PBE) for a relaxed structure of Nb6IrRu.

The space group is Pm-3 (No. 200) and the conventional cell measures 5.174, 5.174 and 5.174 Å, with angles of 90.00, 90.00 and 90.00 degrees. Symmetry generates all atoms from Nb at (0.000, 0.251, 0.500), Ir at (0.000, 0.000, 0.000) and Ru at (0.500, 0.500, 0.500).

For the calculated formation energy, the calculation gives -0.326 eV/atom. The density of states at the Fermi level is 0.5343 states/eV/atom. The value obtained for the volume is 139 Å³ per cell. For the excess energy over the best structure of this formula in the dataset, the calculation gives 0.0 meV per atom.